Pa2TcB | GGA-PBE | relaxed

Cell and atoms, written as CIF:
```
data_Pa2TcB
_chemical_formula_sum 'Pa4 Tc2 B2'
_symmetry_space_group_name_H-M 'P 1'
_symmetry_Int_Tables_number 1
_symmetry_space_group_name_Hall 'P 1'
_cell_length_a 5.2049
_cell_length_b 5.2049
_cell_length_c 5.2501
_cell_angle_alpha 90.00
_cell_angle_beta 90.00
_cell_angle_gamma 80.03
loop_
_atom_site_label
_atom_site_type_symbol
_atom_site_fract_x
_atom_site_fract_y
_atom_site_fract_z
Pa1 Pa 0.1810 0.4551 0.7500
Pa2 Pa 0.4551 0.1810 0.2500
Pa3 Pa 0.8190 0.5449 0.2500
B1 B 0.2932 0.7068 0.2500
Tc1 Tc 0.0000 0.0000 0.0000
Pa4 Pa 0.5449 0.8190 0.7500
Tc2 Tc 0.0000 0.0000 0.5000
B2 B 0.7068 0.2932 0.7500
```

## Properties
The calculation puts the total energy at -73.33 eV per cell.


DyGaAsO | GGA-PBE | relaxed

Cell and atoms, written as CIF:
```
data_DyGaAsO
_chemical_formula_sum 'Dy2 Ga2 As2 O2'
_symmetry_space_group_name_H-M 'P 1'
_symmetry_Int_Tables_number 1
_symmetry_space_group_name_Hall 'P 1'
_cell_length_a 4.5116
_cell_length_b 4.9814
_cell_length_c 6.3609
_cell_angle_alpha 90.00
_cell_angle_beta 90.00
_cell_angle_gamma 90.00
loop_
_atom_site_label
_atom_site_type_symbol
_atom_site_fract_x
_atom_site_fract_y
_atom_site_fract_z
Ga1 Ga 0.0000 0.8627 0.4385
Dy1 Dy 0.5000 0.7252 0.1018
Ga2 Ga 0.0000 0.1373 0.9385
O1 O 0.5000 0.1036 0.9207
Dy2 Dy 0.5000 0.2748 0.6018
O2 O 0.5000 0.8964 0.4207
As1 As 0.0000 0.6273 0.7930
As2 As 0.0000 0.3727 0.2930
```

## Properties
The calculation puts the total energy at -45.89 eV per cell.


RbZr3Se5 | GGA-PBE | relaxed

Cell and atoms, written as CIF:
```
data_RbZr3Se5
_chemical_formula_sum 'Rb1 Zr3 Se5'
_symmetry_space_group_name_H-M 'P 1'
_symmetry_Int_Tables_number 1
_symmetry_space_group_name_Hall 'P 1'
_cell_length_a 6.2084
_cell_length_b 6.2084
_cell_length_c 7.6866
_cell_angle_alpha 90.00
_cell_angle_beta 90.00
_cell_angle_gamma 120.00
loop_
_atom_site_label
_atom_site_type_symbol
_atom_site_fract_x
_atom_site_fract_y
_atom_site_fract_z
Se1 Se 0.6667 0.3333 0.2362
Zr1 Zr 0.5000 0.0000 0.5000
Zr2 Zr 0.5000 0.5000 0.5000
Se2 Se 0.3333 0.6667 0.7638
Se3 Se 0.3333 0.6667 0.2362
Zr3 Zr 0.0000 0.5000 0.5000
Se4 Se 0.0000 0.0000 0.5000
Se5 Se 0.6667 0.3333 0.7638
Rb1 Rb 0.0000 0.0000 0.0000
```

## Properties
The calculation puts the total energy at -54.99 eV per cell.


TePt7 | GGA-PBE | relaxed

Cell and atoms, written as CIF:
```
data_TePt7
_chemical_formula_sum 'Te2 Pt14'
_symmetry_space_group_name_H-M 'P 1'
_symmetry_Int_Tables_number 1
_symmetry_space_group_name_Hall 'P 1'
_cell_length_a 2.9061
_cell_length_b 2.9061
_cell_length_c 42.1736
_cell_angle_alpha 90.00
_cell_angle_beta 90.00
_cell_angle_gamma 90.00
loop_
_atom_site_label
_atom_site_type_symbol
_atom_site_fract_x
_atom_site_fract_y
_atom_site_fract_z
Pt1 Pt 0.0000 0.0000 0.7423
Pt2 Pt 0.5000 0.5000 0.5220
Pt3 Pt 0.0000 0.0000 0.4780
Te1 Te 0.0000 0.0000 0.8378
Pt4 Pt 0.0000 0.0000 0.5659
Pt5 Pt 0.0000 0.0000 0.2115
Pt6 Pt 0.0000 0.0000 0.3900
Pt7 Pt 0.5000 0.5000 0.6979
Pt8 Pt 0.5000 0.5000 0.7885
Pt9 Pt 0.5000 0.5000 0.2577
Pt10 Pt 0.0000 0.0000 0.6540
Te2 Te 0.5000 0.5000 0.1622
Pt11 Pt 0.5000 0.5000 0.4340
Pt12 Pt 0.5000 0.5000 0.6100
Pt13 Pt 0.0000 0.0000 0.3020
Pt14 Pt 0.5000 0.5000 0.3460
```

## Properties
The calculation puts the total energy at -89.61 eV per cell.